Record 1
Density functional theory data (PBE-GGA) for crystalline LaTb5Sm8 at its relaxed geometry.

a b c (Å): 8.5569 8.5566 8.5569
angles (deg): 111.85 104.81 111.85
Last column: nearest neighbours and their distance in Å.
Fractional coordinates of all 14 atoms:
Tb1 0.5000 0.0000 0.5000  8 Sm 3.20-3.36
Tb2 0.2789 0.0965 0.9606  8 Sm 3.41-3.62, 2 Tb 3.52
Tb3 0.8641 0.9035 0.1825  8 Sm 3.41-3.62, 2 Tb 3.52
Tb4 0.8176 0.6817 0.7211  8 Sm 3.41-3.62, 2 Tb 3.52
Tb5 0.0394 0.3183 0.1359  8 Sm 3.41-3.62, 2 Tb 3.52
Sm1 0.7170 0.2507 0.3224  5 Tb 3.36-3.57, 3 Sm 3.62-3.67
Sm2 0.6776 0.3947 0.9283  5 Tb 3.36-3.57, 3 Sm 3.62-3.67
Sm3 0.5699 0.9072 0.8320  4 Tb 3.20-3.55, 1 La 3.20
Sm4 0.0717 0.7493 0.4664  5 Tb 3.36-3.57, 3 Sm 3.62-3.67
Sm5 0.3373 0.2621 0.4301  4 Tb 3.20-3.55, 1 La 3.20
Sm6 0.1680 0.7379 0.0752  4 Tb 3.20-3.55, 1 La 3.20
Sm7 0.9248 0.0928 0.6627  4 Tb 3.20-3.55, 1 La 3.20
Sm8 0.5336 0.6053 0.2830  5 Tb 3.36-3.57, 3 Sm 3.62-3.67
La1 0.2500 0.5000 0.7500  4 Sm 3.20


Record 2
Density functional theory data (PBE-GGA) for crystalline La2Tb3Sm at its relaxed geometry.

a b c (Å): 3.5166 16.7690 7.0443
angles (deg): 90.00 90.00 90.00
Last column: nearest neighbours and their distance in Å.
Fractional coordinates of all 12 atoms:
Tb1 0.0000 0.3496 0.7513  4 Tb 3.52-3.55, 4 La 3.52-3.59, 2 Sm 3.54
Tb2 0.0000 0.0000 0.0000  6 Tb 3.52-3.55, 2 Sm 3.52, 4 La 3.69
Tb3 0.5000 0.5000 0.5000  6 Tb 3.52-3.55, 2 Sm 3.52, 4 La 3.69
Tb4 0.5000 0.8496 0.7487  4 Tb 3.52-3.55, 4 La 3.52-3.59, 2 Sm 3.54
Tb5 0.5000 0.1504 0.2513  4 Tb 3.52-3.55, 4 La 3.52-3.59, 2 Sm 3.54
Tb6 0.0000 0.6504 0.2487  4 Tb 3.52-3.55, 4 La 3.52-3.59, 2 Sm 3.54
La1 0.0000 0.3372 0.2520  2 La 3.52, 6 Tb 3.52-3.69, 2 Sm 3.70
La2 0.5000 0.1628 0.7520  2 La 3.52, 6 Tb 3.52-3.69, 2 Sm 3.70
La3 0.5000 0.8372 0.2480  2 La 3.52, 6 Tb 3.52-3.69, 2 Sm 3.70
La4 0.0000 0.6628 0.7480  2 La 3.52, 6 Tb 3.52-3.69, 2 Sm 3.70
Sm1 0.0000 0.0000 0.5000  2 Sm 3.52, 6 Tb 3.52-3.54, 4 La 3.70
Sm2 0.5000 0.5000 0.0000  2 Sm 3.52, 6 Tb 3.52-3.54, 4 La 3.70


Record 3
Density functional theory data (PBE-GGA) for crystalline LaTb15Sm4 at its relaxed geometry.

a b c (Å): 5.0744 5.0744 25.3225
angles (deg): 90.00 90.00 90.00
Last column: nearest neighbours and their distance in Å.
Fractional coordinates of all 20 atoms:
Tb1 0.5000 0.5000 0.7986  8 Tb 3.57-3.58, 4 Sm 3.59
Tb2 0.5000 0.0000 0.8984  2 Sm 3.57, 8 Tb 3.58-3.61, 2 La 3.61
Tb3 0.5000 0.5000 0.5997  8 Tb 3.58, 4 Sm 3.59
Tb4 0.0000 0.5000 0.1016  2 Sm 3.57, 8 Tb 3.58-3.61, 2 La 3.61
Tb5 0.0000 0.5000 0.5000  4 Sm 3.58, 8 Tb 3.58-3.59
Tb6 0.5000 0.0000 0.3007  8 Tb 3.57-3.59, 4 Sm 3.58-3.59
Tb7 0.5000 0.0000 0.1016  2 Sm 3.57, 8 Tb 3.58-3.61, 2 La 3.61
Tb8 0.5000 0.5000 0.2014  8 Tb 3.57-3.58, 4 Sm 3.59
Tb9 0.5000 0.0000 0.5000  4 Sm 3.58, 8 Tb 3.58-3.59
Tb10 0.5000 0.5000 0.4003  8 Tb 3.58, 4 Sm 3.59
Tb11 0.0000 0.5000 0.6993  8 Tb 3.57-3.59, 4 Sm 3.58-3.59
Tb12 0.0000 0.5000 0.8984  2 Sm 3.57, 8 Tb 3.58-3.61, 2 La 3.61
Tb13 0.0000 0.5000 0.3007  8 Tb 3.57-3.59, 4 Sm 3.58-3.59
Tb14 0.5000 0.5000 0.0000  4 La 3.59, 8 Tb 3.61
Tb15 0.5000 0.0000 0.6993  8 Tb 3.57-3.59, 4 Sm 3.58-3.59
Sm1 0.0000 0.0000 0.5996  12 Tb 3.58-3.59
Sm2 0.0000 0.0000 0.7994  12 Tb 3.57-3.59
Sm3 0.0000 0.0000 0.4004  12 Tb 3.58-3.59
Sm4 0.0000 0.0000 0.2006  12 Tb 3.57-3.59
La1 0.0000 0.0000 0.0000  12 Tb 3.59-3.61


Record 4
Density functional theory data (PBE-GGA) for crystalline La3Tb3Sm at its relaxed geometry.

a b c (Å): 8.3598 8.3598 8.3598
angles (deg): 69.46 69.46 69.46
Last column: nearest neighbours and their distance in Å.
Fractional coordinates of all 14 atoms:
La1 0.7302 0.1650 0.8723  5 Tb 3.45-3.64, 1 Sm 3.56, 4 La 3.61-3.66
La2 0.8350 0.1277 0.2698  5 Tb 3.45-3.64, 1 Sm 3.56, 4 La 3.61-3.66
La3 0.2698 0.8350 0.1277  5 Tb 3.45-3.64, 1 Sm 3.56, 4 La 3.61-3.66
La4 0.1277 0.2698 0.8350  5 Tb 3.45-3.64, 1 Sm 3.56, 4 La 3.61-3.66
La5 0.8723 0.7302 0.1650  5 Tb 3.45-3.64, 1 Sm 3.56, 4 La 3.61-3.66
La6 0.1650 0.8723 0.7302  5 Tb 3.45-3.64, 1 Sm 3.56, 4 La 3.61-3.66
Tb1 0.9751 0.6900 0.5541  3 Tb 3.45-3.54, 5 La 3.45-3.64, 2 Sm 3.47-3.62
Tb2 0.3100 0.4459 0.0249  3 Tb 3.45-3.54, 5 La 3.45-3.64, 2 Sm 3.47-3.62
Tb3 0.5541 0.9751 0.6900  3 Tb 3.45-3.54, 5 La 3.45-3.64, 2 Sm 3.47-3.62
Tb4 0.6900 0.5541 0.9751  3 Tb 3.45-3.54, 5 La 3.45-3.64, 2 Sm 3.47-3.62
Tb5 0.4459 0.0249 0.3100  3 Tb 3.45-3.54, 5 La 3.45-3.64, 2 Sm 3.47-3.62
Tb6 0.0249 0.3100 0.4459  3 Tb 3.45-3.54, 5 La 3.45-3.64, 2 Sm 3.47-3.62
Sm1 0.4089 0.4089 0.4089  1 Sm 3.44, 6 Tb 3.47-3.62, 3 La 3.56
Sm2 0.5911 0.5911 0.5911  1 Sm 3.44, 6 Tb 3.47-3.62, 3 La 3.56


Record 5
Density functional theory data (PBE-GGA) for crystalline La2Tb7Sm at its relaxed geometry.

a b c (Å): 6.2311 10.7654 8.0896
angles (deg): 107.46 105.07 39.91
Last column: nearest neighbours and their distance in Å.
Fractional coordinates of all 10 atoms:
Tb1 0.2979 0.1011 0.8023  7 Tb 3.57-3.64, 2 Sm 3.59-3.60, 3 La 3.60-3.64
Tb2 0.5000 0.5000 0.0000  8 Tb 3.58-3.60, 2 La 3.58, 2 Sm 3.60
Tb3 0.1008 0.7001 0.6019  4 La 3.58-3.62, 1 Sm 3.59, 7 Tb 3.59-3.64
Tb4 0.8992 0.2999 0.3981  4 La 3.58-3.62, 1 Sm 3.59, 7 Tb 3.59-3.64
Tb5 0.7977 0.6009 0.8032  9 Tb 3.57-3.63, 1 Sm 3.60, 2 La 3.62-3.64
Tb6 0.2023 0.3991 0.1968  9 Tb 3.57-3.63, 1 Sm 3.60, 2 La 3.62-3.64
Tb7 0.7021 0.8989 0.1977  7 Tb 3.57-3.64, 2 Sm 3.59-3.60, 3 La 3.60-3.64
La1 0.4040 0.7971 0.3979  10 Tb 3.58-3.64, 1 Sm 3.61, 1 La 3.66
La2 0.5960 0.2029 0.6021  10 Tb 3.58-3.64, 1 Sm 3.61, 1 La 3.66
Sm1 0.0000 0.0000 0.0000  10 Tb 3.59-3.60, 2 La 3.61


Record 6
Density functional theory data (PBE-GGA) for crystalline La4Tb2Sm3 at its relaxed geometry.

a b c (Å): 3.7147 6.7959 14.8605
angles (deg): 64.20 90.00 105.86
Last column: nearest neighbours and their distance in Å.
Fractional coordinates of all 9 atoms:
La1 0.3495 0.6990 0.8721  3 Tb 3.66-3.73, 4 Sm 3.66-4.08, 4 La 3.71-3.96
La2 0.8874 0.7747 0.3952  5 Sm 3.49-3.72, 2 Tb 3.59, 2 La 3.71
La3 0.1126 0.2253 0.6048  5 Sm 3.49-3.72, 2 Tb 3.59, 2 La 3.71
La4 0.6505 0.3010 0.1279  3 Tb 3.66-3.73, 4 Sm 3.66-4.08, 4 La 3.71-3.96
Sm1 0.0000 0.0000 0.0000  4 Tb 3.41, 2 Sm 3.71, 4 La 3.78
Sm2 0.6180 0.2360 0.3859  3 Sm 3.40-3.71, 2 Tb 3.45, 6 La 3.49-3.72
Sm3 0.3820 0.7640 0.6141  3 Sm 3.40-3.71, 2 Tb 3.45, 6 La 3.49-3.72
Tb1 0.3410 0.6821 0.2099  4 Sm 3.41-3.45, 5 La 3.59-3.73, 2 Tb 3.71
Tb2 0.6590 0.3179 0.7901  4 Sm 3.41-3.45, 5 La 3.59-3.73, 2 Tb 3.71


Record 7
Density functional theory data (PBE-GGA) for crystalline LaTbSm2 at its relaxed geometry.

a b c (Å): 5.1584 7.3118 7.2555
angles (deg): 90.00 90.00 90.00
Last column: nearest neighbours and their distance in Å.
Fractional coordinates of all 8 atoms:
La1 0.0001 0.7500 0.9998  2 Tb 3.63, 2 La 3.66, 8 Sm 3.66
La2 0.9999 0.2500 0.0002  2 Tb 3.63, 2 La 3.66, 8 Sm 3.66
Sm1 0.5000 0.5000 0.7448  4 Sm 3.55-3.70, 4 Tb 3.63, 4 La 3.66
Sm2 0.5000 0.0000 0.2552  4 Sm 3.55-3.70, 4 Tb 3.63, 4 La 3.66
Sm3 0.5000 0.5000 0.2552  4 Sm 3.55-3.70, 4 Tb 3.63, 4 La 3.66
Sm4 0.5000 0.0000 0.7448  4 Sm 3.55-3.70, 4 Tb 3.63, 4 La 3.66
Tb1 0.0000 0.2500 0.5002  8 Sm 3.63, 2 La 3.63, 2 Tb 3.66
Tb2 0.0000 0.7500 0.4998  8 Sm 3.63, 2 La 3.63, 2 Tb 3.66


Record 8
Density functional theory data (PBE-GGA) for crystalline LaTb4Sm at its relaxed geometry.

a b c (Å): 6.6650 6.6650 6.6650
angles (deg): 60.00 60.00 60.00
Last column: nearest neighbours and their distance in Å.
Fractional coordinates of all 6 atoms:
Tb1 0.6256 0.6256 0.6256  6 Tb 3.32-3.35
Tb2 0.6256 0.1233 0.6256  6 Tb 3.32-3.35
Tb3 0.1233 0.6256 0.6256  6 Tb 3.32-3.35
Tb4 0.6256 0.6256 0.1233  6 Tb 3.32-3.35
La1 0.2500 0.2500 0.2500  12 Tb 3.91, 4 Sm 4.08
Sm1 0.0000 0.0000 0.0000  12 Tb 3.91, 4 La 4.08


no.,formation energy from the elements (kcal/mol of atoms),N(E_F) (states/eV per atom)
1,5.34,1.5105
2,3.22,1.5162
3,0.42,1.3695
4,2.94,1.3553
5,0.51,1.5105
6,1.98,1.5767
7,0.44,1.5361
8,6.28,2.2795